Record 1
VASP calculation (PBE) on NiIrBr2 after structural relaxation.

Computed properties:
N(E_F)	5.91	states/eV/f.u.
raw formation energy	846.8	meV/atom
total magnetic moment	1.12	μB per formula unit
polymorph energy (0 for the lowest one)	649.2	meV/atom

a = 5.278 Å, b = 5.278 Å, c = 5.278 Å
α = 145.25°, β = 108.36°, γ = 82.15°
Each line ends with the local moment (μB).
Fractional positions:
Br (0.006, 0.006, 0.000)  0.03
Br (0.494, 0.494, 0.000)  0.03
Ni (0.250, 0.750, 0.500)  0.60
Ir (0.750, 0.250, 0.500)  0.45

Record 2
VASP calculation (PBE) on NiIrBr after structural relaxation.

Computed properties:
N(E_F)	3.72	states/eV/f.u.
raw formation energy	661.8	meV/atom
total magnetic moment	0.00	μB per formula unit
polymorph energy (0 for the lowest one)	0.0	meV/atom

a = 3.096 Å, b = 3.096 Å, c = 5.740 Å
α = 90.00°, β = 90.00°, γ = 120.00°
Fractional positions:
Br (0.000, 0.000, 0.969)
Ni (0.667, 0.333, 0.667)
Ir (0.333, 0.667, 0.364)

Record 3
VASP calculation (PBE) on NiIrBr2 after structural relaxation.

Computed properties:
N(E_F)	2.81	states/eV/f.u.
raw formation energy	580.2	meV/atom
total magnetic moment	0.94	μB per formula unit
polymorph energy (0 for the lowest one)	382.6	meV/atom

a = 7.922 Å, b = 7.922 Å, c = 7.922 Å
α = 155.83°, β = 153.90°, γ = 35.87°
Each line ends with the local moment (μB).
Fractional positions:
Br (0.749, 0.249, 0.500)  0.12
Ir (0.441, 0.441, 0.000)  0.05
Br (0.997, 0.997, 0.000)  -0.01
Ni (0.313, 0.813, 0.500)  0.77

Record 4
VASP calculation (PBE) on NiIrBr2 after structural relaxation.

Computed properties:
N(E_F)	3.87	states/eV/f.u.
raw formation energy	770.4	meV/atom
total magnetic moment	0.00	μB per formula unit
polymorph energy (0 for the lowest one)	572.8	meV/atom

a = 7.784 Å, b = 7.784 Å, c = 7.784 Å
α = 24.13°, β = 24.13°, γ = 24.13°
Fractional positions:
Br (0.010, 0.010, 0.010)
Ni (0.750, 0.750, 0.750)
Ir (0.250, 0.250, 0.250)
Br (0.490, 0.490, 0.490)

Record 5
VASP calculation (PBE) on NiIrBr2 after structural relaxation.

Computed properties:
N(E_F)	5.00	states/eV/f.u.
raw formation energy	465.5	meV/atom
total magnetic moment	1.43	μB per formula unit
polymorph energy (0 for the lowest one)	267.9	meV/atom

a = 3.595 Å, b = 3.595 Å, c = 8.110 Å
α = 90.00°, β = 90.00°, γ = 115.78°
Each line ends with the local moment (μB).
Fractional positions:
Ni (0.500, 0.500, 0.716)  0.54
Br (0.500, 0.500, 0.338)  0.03
Ir (0.000, 0.000, 0.552)  0.83
Br (0.000, 0.000, 0.894)  0.00

Record 6
VASP calculation (PBE) on NiIrBr2 after structural relaxation.

Computed properties:
N(E_F)	3.00	states/eV/f.u.
raw formation energy	547.3	meV/atom
total magnetic moment	2.71	μB per formula unit
polymorph energy (0 for the lowest one)	349.6	meV/atom

a = 3.273 Å, b = 3.273 Å, c = 7.789 Å
α = 90.00°, β = 90.00°, γ = 90.00°
Each line ends with the local moment (μB).
Fractional positions:
Ir (0.000, 0.000, 0.558)  1.33
Br (0.500, 0.500, 0.331)  0.11
Ni (0.500, 0.500, 0.717)  1.02
Br (0.000, 0.000, 0.893)  0.17

Record 7
VASP calculation (PBE) on NiIr3Br after structural relaxation.

Computed properties:
N(E_F)	12.13	states/eV/f.u.
raw formation energy	2129.0	meV/atom
total magnetic moment	0.00	μB per formula unit
polymorph energy (0 for the lowest one)	307.6	meV/atom

a = 4.577 Å, b = 4.577 Å, c = 4.577 Å
α = 90.00°, β = 90.00°, γ = 90.00°
Fractional positions:
Ir (0.500, 0.000, 0.000)
Ni (0.500, 0.500, 0.500)
Br (0.000, 0.000, 0.000)
Ir (0.000, 0.500, 0.000)
Ir (0.000, 0.000, 0.500)

Record 8
VASP calculation (PBE) on NiIr3Br after structural relaxation.

Computed properties:
N(E_F)	9.32	states/eV/f.u.
raw formation energy	1821.3	meV/atom
total magnetic moment	4.81	μB per formula unit
polymorph energy (0 for the lowest one)	0.0	meV/atom

a = 4.572 Å, b = 4.572 Å, c = 4.572 Å
α = 90.00°, β = 90.00°, γ = 90.00°
Each line ends with the local moment (μB).
Fractional positions:
Br (0.500, 0.500, 0.500)  0.24
Ni (0.000, 0.000, 0.000)  0.83
Ir (0.000, 0.500, 0.000)  1.32
Ir (0.500, 0.000, 0.000)  0.83
Ir (0.000, 0.000, 0.500)  1.51

Record 9
VASP calculation (PBE) on NiIrBr2 after structural relaxation.

Computed properties:
N(E_F)	2.30	states/eV/f.u.
raw formation energy	443.7	meV/atom
total magnetic moment	0.00	μB per formula unit
polymorph energy (0 for the lowest one)	246.1	meV/atom

a = 3.727 Å, b = 4.750 Å, c = 4.745 Å
α = 65.01°, β = 90.00°, γ = 90.00°
Fractional positions:
Ni (0.500, 0.729, 0.729)
Br (0.000, 0.951, 0.951)
Br (0.500, 0.301, 0.301)
Ir (0.000, 0.519, 0.519)

Record 10
VASP calculation (PBE) on NiIrBr2 after structural relaxation.

Computed properties:
N(E_F)	6.65	states/eV/f.u.
raw formation energy	1040.2	meV/atom
total magnetic moment	0.01	μB per formula unit
polymorph energy (0 for the lowest one)	842.6	meV/atom

a = 3.203 Å, b = 3.203 Å, c = 6.626 Å
α = 90.00°, β = 90.00°, γ = 90.00°
Fractional positions:
Br (0.000, 0.000, 0.992)
Br (0.000, 0.000, 0.508)
Ir (0.500, 0.500, 0.250)
Ni (0.500, 0.500, 0.750)

Record 11
VASP calculation (PBE) on NiIrBr2 after structural relaxation.

Computed properties:
N(E_F)	3.80	states/eV/f.u.
raw formation energy	599.0	meV/atom
total magnetic moment	1.06	μB per formula unit
polymorph energy (0 for the lowest one)	401.3	meV/atom

a = 8.126 Å, b = 8.126 Å, c = 8.126 Å
α = 23.97°, β = 23.97°, γ = 23.97°
Each line ends with the local moment (μB).
Fractional positions:
Br (0.898, 0.898, 0.898)  0.09
Ni (0.500, 0.500, 0.500)  0.76
Br (0.102, 0.102, 0.102)  0.09
Ir (0.000, 0.000, 0.000)  0.09

Record 12
VASP calculation (PBE) on NiIrBr2 after structural relaxation.

Computed properties:
N(E_F)	4.87	states/eV/f.u.
raw formation energy	319.8	meV/atom
total magnetic moment	0.99	μB per formula unit
polymorph energy (0 for the lowest one)	122.2	meV/atom

a = 8.659 Å, b = 8.659 Å, c = 4.215 Å
α = 76.13°, β = 76.13°, γ = 18.69°
Each line ends with the local moment (μB).
Fractional positions:
Ir (0.750, 0.750, 0.750)  0.25
Br (0.896, 0.896, 0.608)  -0.01
Ni (0.250, 0.250, 0.250)  0.77
Br (0.604, 0.604, 0.892)  -0.01